VASP calculation (GGA-PBE) on RbNaMnCl4 after structural relaxation.

Cell lengths 6.980, 7.211, 8.837 Å; angles 90.00, 107.13, 90.00 degrees
Fractional positions:
Rb (0.250, 0.250, 0.056)
Rb (0.750, 0.750, 0.944)
Na (0.210, 0.250, 0.550)
Na (0.790, 0.750, 0.450)
Mn (0.242, 0.750, 0.332)
Mn (0.758, 0.250, 0.668)
Cl (0.009, 0.504, 0.285)
Cl (0.009, 0.996, 0.285)
Cl (0.430, 0.750, 0.150)
Cl (0.470, 0.750, 0.583)
Cl (0.530, 0.250, 0.417)
Cl (0.570, 0.250, 0.850)
Cl (0.991, 0.004, 0.715)
Cl (0.991, 0.496, 0.715)

Computed properties:
ΔE_f (raw) in eV per atom: -1.5455
ρ in kg/m³: 2385
Space group: No. 11

VASP calculation (GGA-PBE) on Li2TaCu2 after structural relaxation.

Cell lengths 7.161, 7.161, 2.606 Å; angles 90.00, 90.00, 90.00 degrees
Fractional positions:
Li (0.114, 0.386, 0.000)
Li (0.386, 0.886, 0.000)
Li (0.614, 0.114, 0.000)
Li (0.886, 0.614, 0.000)
Ta (0.000, 0.000, 0.000)
Ta (0.500, 0.500, 0.000)
Cu (0.188, 0.688, 0.500)
Cu (0.312, 0.188, 0.500)
Cu (0.688, 0.812, 0.500)
Cu (0.812, 0.312, 0.500)

Computed properties:
ΔE_f in kcal/mol of atoms: 3.53
ρ in kg/m³: 8001
Energy above the lowest structure with this stoichiometry in meV per atom: 0
Space group: No. 127

VASP calculation (GGA-PBE) on UHPb2O6 after structural relaxation.

Cell lengths 5.140, 6.304, 6.585 Å; angles 61.81, 85.32, 66.07 degrees
Fractional positions:
U (0.000, 0.000, 0.000)
H (0.525, 0.112, 0.233)
Pb (0.222, 0.593, 0.677)
Pb (0.804, 0.392, 0.349)
O (0.187, 0.216, 0.014)
O (0.194, 0.933, 0.718)
O (0.289, 0.645, 0.305)
O (0.696, 0.363, 0.729)
O (0.722, 0.090, 0.264)
O (0.788, 0.808, 0.011)

Computed properties:
ρ in kg/m³: 7307
Raw total energy in eV for the cell shown: -69.48
Space group: No. 1

Q: ρ of number 3 (UHPb2O6)?
A: 7307 kg/m³